Compound: GaTcSn4
Source: Alexandria via LeMat-Bulk
Functional: PBE-GGA
Structure: optimized geometry

a b c (Å): 7.004 7.004 10.835
angles (deg): 90.00 90.00 90.00
Space group I4/mcm (No. 140)
Asymmetric unit:
Ga  0.000  0.000  0.000 (multiplicity 4)
Tc  0.000  0.000  0.250 (multiplicity 4)
Sn  0.153  0.347  0.140 (multiplicity 16)

- Energy of formation: -0.09 eV per atom
- Energy: -4.991 eV/atom

Compound: MgNi2Sb
Source: Alexandria via LeMat-Bulk
Functional: PBE-GGA
Structure: optimized geometry

a b c (Å): 3.238 3.269 5.847
angles (deg): 90.00 90.00 90.00
Space group Pmmm (No. 47)
Asymmetric unit:
Mg  0.000  0.000  0.000 (multiplicity 1)
Ni  0.500  0.500  0.257 (multiplicity 2)
Sb  0.000  0.000  0.500 (multiplicity 1)

- Raw formation energy: -0.45 eV per formula unit
- Energy: -4.433 eV/atom

Compound: TcAu2
Source: Alexandria via LeMat-Bulk
Functional: PBE-GGA
Structure: optimized geometry

a b c (Å): 5.2920 5.2920 9.1891
angles (deg): 90.00 90.00 120.00
Space group P6_3/mmc (No. 194)
Asymmetric unit:
Tc  0.3333  0.6667  0.0188 (multiplicity 4)
Au  0.0000  0.0000  0.0000 (multiplicity 2)
Au  0.1685  0.3370  0.7500 (multiplicity 6)

- Relative energy among the computed polymorphs: 1.56 eV per formula unit
- Energy of formation: 0.79 eV per atom
- Energy: -4.849 eV/atom

Compound: Sr3Tl
Source: Alexandria via LeMat-Bulk
Functional: PBE-GGA
Structure: optimized geometry

a b c (Å): 4.048 4.255 11.223
angles (deg): 90.00 90.00 90.00
Space group Pmm2 (No. 25)
Asymmetric unit:
Sr  0.000  0.000  0.000 (multiplicity 1)
Sr  0.000  0.500  0.323 (multiplicity 1)
Sr  0.500  0.500  0.716 (multiplicity 1)
Tl  0.500  0.000  0.480 (multiplicity 1)

- Energy of formation: -0.06 eV per atom
- Energy: -1.914 eV/atom

Compound: ScMo4
Source: Alexandria via LeMat-Bulk
Functional: PBE-GGA
Structure: optimized geometry

a b c (Å): 5.784 5.784 5.784
angles (deg): 90.00 90.00 90.00
Space group Im-3m (No. 229)
Asymmetric unit:
Sc  0.000  0.000  0.000 (multiplicity 2)
Mo  0.250  0.250  0.250 (multiplicity 8)

- Relative energy among the computed polymorphs: 8.64 eV per formula unit
- Energy of formation: 1.74 eV per atom
- Energy: -8.193 eV/atom

Compound: Rb3NaMn2Br9
Source: Alexandria via LeMat-Bulk
Functional: PBE-GGA
Structure: optimized geometry

a b c (Å): 7.6376 7.6376 9.5184
angles (deg): 90.00 90.00 120.00
Space group P-3m1 (No. 164)
Asymmetric unit:
Rb  0.0000  0.0000  0.0000 (multiplicity 1)
Rb  0.3333  0.6667  0.6650 (multiplicity 2)
Na  0.0000  0.0000  0.5000 (multiplicity 1)
Mn  0.3333  0.6667  0.1665 (multiplicity 2)
Br  0.0000  0.5000  0.0000 (multiplicity 3)
Br  0.1732  0.3464  0.3145 (multiplicity 6)

- Raw formation energy: -18.65 eV per formula unit
- Energy: -3.751 eV/atom